Record 1
The following is a PBE calculation of crystalline AcCdCuSi at its relaxed geometry, from Alexandria via LeMat-Bulk. Values from VASP.

Structure (Quantum ESPRESSO input):
```
&SYSTEM
  ibrav = 0, nat = 4, ntyp = 4
/
ATOMIC_SPECIES
Ac 227.00 Ac.upf
Cd 112.41 Cd.upf
Cu 63.55 Cu.upf
Si 28.09 Si.upf
CELL_PARAMETERS angstrom
0.0000 3.5829 3.5829
3.5829 0.0000 3.5829
3.5829 3.5829 0.0000
ATOMIC_POSITIONS angstrom
Ac 0.0000 0.0000 0.0000
Cd 3.5829 3.5829 3.5829
Cu 5.3744 5.3744 5.3744
Si 1.7915 1.7915 1.7915
```

- size of the total moment (μB/f.u.) = 0.0
- space group = F-43m
- density of states at the Fermi level (states/eV/atom) = 0.275
- ΔE_f (raw) (kJ/mol of atoms) = -8.32

Record 2
The following is a PBE calculation of crystalline KHg3Pt at its relaxed geometry, from Alexandria via LeMat-Bulk. Values from VASP.

Structure (Quantum ESPRESSO input):
```
&SYSTEM
  ibrav = 0, nat = 5, ntyp = 3
/
ATOMIC_SPECIES
K 39.10 K.upf
Hg 200.59 Hg.upf
Pt 195.08 Pt.upf
CELL_PARAMETERS angstrom
6.3103 0.0000 0.0000
0.0000 6.3103 0.0000
0.0000 0.0000 6.3103
ATOMIC_POSITIONS angstrom
K 0.0000 0.0000 0.0000
Hg 0.0000 0.0000 3.1552
Hg 0.0000 3.1552 0.0000
Hg 3.1552 0.0000 0.0000
Pt 3.1552 3.1552 3.1552
```

- size of the total moment (μB/f.u.) = 1.0
- space group = Pm-3m
- density of states at the Fermi level (states/eV/atom) = 0.820
- formation energy from the elements (eV/atom) = 0.858
- offset from the most stable computed form (meV/atom) = 1127

Record 3
The following is a PBE calculation of crystalline Pr4Ho5Cd at its relaxed geometry, from Alexandria via LeMat-Bulk. Values from VASP.

Structure (Quantum ESPRESSO input):
```
&SYSTEM
  ibrav = 0, nat = 10, ntyp = 3
/
ATOMIC_SPECIES
Pr 140.91 Pr.upf
Ho 164.93 Ho.upf
Cd 112.41 Cd.upf
CELL_PARAMETERS angstrom
-5.3990 5.3990 2.8838
5.3990 -5.3990 2.8838
5.3990 5.3990 -2.8838
ATOMIC_POSITIONS angstrom
Pr 3.4126 0.0000 0.0000
Pr 7.3855 0.0000 0.0000
Pr 0.0000 3.4126 0.0000
Pr 0.0000 7.3855 0.0000
Ho 0.0000 0.0000 1.0790
Ho 3.4224 3.4224 -0.0615
Ho 1.9766 -1.9766 2.8224
Ho -1.9766 1.9766 2.8224
Ho 1.9766 1.9766 2.8224
Cd 0.0000 0.0000 4.0652
```

- size of the total moment (μB/f.u.) = 0.0
- space group = I4mm
- density of states at the Fermi level (states/eV/atom) = 1.347
- formation energy from the elements (eV/atom) = 0.095
- offset from the most stable computed form (meV/atom) = 142

Record 4
The following is a PBE calculation of crystalline CdCoBi2 at its relaxed geometry, from Alexandria via LeMat-Bulk. Values from VASP.

Structure (Quantum ESPRESSO input):
```
&SYSTEM
  ibrav = 0, nat = 8, ntyp = 3
/
ATOMIC_SPECIES
Cd 112.41 Cd.upf
Co 58.93 Co.upf
Bi 208.98 Bi.upf
CELL_PARAMETERS angstrom
-3.2613 3.2613 5.9009
3.2613 -3.2613 5.9009
3.2613 3.2613 -5.9009
ATOMIC_POSITIONS angstrom
Cd 0.0000 0.0000 0.0000
Cd 0.0000 3.2613 2.9504
Co 3.2613 0.0000 2.9504
Co 0.0000 0.0000 5.9009
Bi 1.6307 -1.1694 4.4257
Bi 2.0919 1.6307 1.4752
Bi 1.6307 4.4307 -1.4752
Bi 1.1694 1.6307 7.3761
```

- size of the total moment (μB/f.u.) = 0.0
- space group = I-42d
- density of states at the Fermi level (states/eV/atom) = 0.971
- formation energy from the elements (eV/atom) = 0.422

Record 5
The following is a PBE calculation of crystalline KVAg2 at its relaxed geometry, from Alexandria via LeMat-Bulk. Values from VASP.

Structure (Quantum ESPRESSO input):
```
&SYSTEM
  ibrav = 0, nat = 8, ntyp = 3
/
ATOMIC_SPECIES
K 39.10 K.upf
V 50.94 V.upf
Ag 107.87 Ag.upf
CELL_PARAMETERS angstrom
-4.0495 4.0495 3.1626
4.0495 -4.0495 3.1626
4.0495 4.0495 -3.1626
ATOMIC_POSITIONS angstrom
K 0.0000 0.0000 0.0000
K 0.0000 4.0495 1.5813
V 4.0495 0.0000 1.5813
V 0.0000 0.0000 3.1626
Ag 2.0247 -1.6160 2.3720
Ag 2.4334 2.0247 0.7907
Ag 2.0247 5.6655 -0.7907
Ag 1.6160 2.0247 3.9533
```

- size of the total moment (μB/f.u.) = 3.8
- space group = I-42d
- density of states at the Fermi level (states/eV/atom) = 1.037
- formation energy from the elements (eV/atom) = 0.786
- offset from the most stable computed form (meV/atom) = 42

Record 6
The following is a PBE calculation of crystalline FeRh2W at its relaxed geometry, from Alexandria via LeMat-Bulk. Values from VASP.

Structure (Quantum ESPRESSO input):
```
&SYSTEM
  ibrav = 0, nat = 4, ntyp = 3
/
ATOMIC_SPECIES
Fe 55.84 Fe.upf
Rh 102.91 Rh.upf
W 183.84 W.upf
CELL_PARAMETERS angstrom
1.3710 0.7915 8.8090
-1.3710 0.7915 8.8090
0.0000 -1.5831 8.8090
ATOMIC_POSITIONS angstrom
Fe 0.0000 0.0000 0.0000
Rh 0.0000 0.0000 6.7715
Rh 0.0000 0.0000 13.2298
W 0.0000 0.0000 19.8783
```

- size of the total moment (μB/f.u.) = 3.0
- space group = R3m
- density of states at the Fermi level (states/eV/atom) = 1.354
- formation energy from the elements (eV/atom) = 0.074
- offset from the most stable computed form (meV/atom) = 235

Record 7
The following is a PBE calculation of crystalline YTeOs2 at its relaxed geometry, from Alexandria via LeMat-Bulk. Values from VASP.

Structure (Quantum ESPRESSO input):
```
&SYSTEM
  ibrav = 0, nat = 4, ntyp = 3
/
ATOMIC_SPECIES
Y 88.91 Y.upf
Te 127.60 Te.upf
Os 190.23 Os.upf
CELL_PARAMETERS angstrom
0.0000 3.3725 3.3725
3.3725 0.0000 3.3725
3.3725 3.3725 0.0000
ATOMIC_POSITIONS angstrom
Y 0.0000 0.0000 0.0000
Te 1.6863 1.6863 1.6863
Os 3.3725 3.3725 3.3725
Os 5.0588 5.0588 5.0588
```

- size of the total moment (μB/f.u.) = 0.0
- space group = F-43m
- density of states at the Fermi level (states/eV/atom) = 1.755
- ΔE_f (raw) (kJ/mol of atoms) = 63.77

Record 8
The following is a PBE calculation of crystalline TaSnSe at its relaxed geometry, from Alexandria via LeMat-Bulk. Values from VASP.

Structure (Quantum ESPRESSO input):
```
&SYSTEM
  ibrav = 0, nat = 6, ntyp = 3
/
ATOMIC_SPECIES
Ta 180.95 Ta.upf
Sn 118.71 Sn.upf
Se 78.96 Se.upf
CELL_PARAMETERS angstrom
3.2683 0.0000 0.0000
0.0311 5.9580 0.0000
1.6131 0.1301 7.0727
ATOMIC_POSITIONS angstrom
Ta 0.8208 1.4287 0.0992
Ta 4.0915 4.6594 6.9735
Sn 2.4539 3.5318 4.9007
Sn 2.4585 2.5564 2.1721
Se 0.8450 5.3909 1.7291
Se 4.0674 0.6972 5.3436
```

- size of the total moment (μB/f.u.) = 0.0
- space group = P-1
- density of states at the Fermi level (states/eV/atom) = 0.401
- ΔE_f (raw) (kJ/mol of atoms) = -25.91